# 1
Material: Sc2Os
Method: DFT, PBE
State: relaxed

Properties
- Raw total energy: -97.7 eV for the cell shown
- Energy relative to the elements: -0.179 eV/atom
- Total magnetization: 0.00 μB per cell
- Space group: C2/m (12)
- Density of states at the Fermi level: 11.25 states/eV per cell

Unit cell a=11.645 b=3.173 c=6.800 alpha=90.00 beta=106.71 gamma=90.00
Fractional positions:
Sc 0.019 0.000 0.244
Sc 0.208 0.500 0.682
Sc 0.292 0.000 0.318
Sc 0.481 0.500 0.756
Sc 0.519 0.500 0.244
Sc 0.708 0.000 0.682
Sc 0.792 0.500 0.318
Sc 0.981 0.000 0.756
Os 0.142 0.500 0.025
Os 0.358 0.000 0.975
Os 0.642 0.000 0.025
Os 0.858 0.500 0.975

=====

# 2
Material: Y3NbBr
Method: DFT, PBE
State: relaxed

Properties
- Raw total energy: -29.7 eV for the cell shown
- Total magnetization: 1.20 μB per cell
- E above lowest polymorph: 0 meV per atom
- Formation energy (no corrections): 6.59 kcal/mol of atoms
- Space group: Pm-3m (221)
- Density of states at the Fermi level: 3.18 states/eV per cell

Unit cell a=5.284 b=5.284 c=5.284 alpha=90.00 beta=90.00 gamma=90.00
Fractional positions:
Y 0.000 0.000 0.500
Y 0.000 0.500 0.000
Y 0.500 0.000 0.000
Nb 0.500 0.500 0.500
Br 0.000 0.000 0.000

=====

# 3
Material: Pr2Y5Tm5
Method: DFT, PBE
State: relaxed

Properties
- Raw total energy: -63.9 eV for the cell shown
- Energy relative to the elements: 0.028 eV/atom
- Total magnetization: 0.00 μB per cell
- Space group: C2/m (12)
- Density of states at the Fermi level: 18.34 states/eV per cell

Unit cell a=7.966 b=7.966 c=11.257 alpha=115.08 beta=115.08 gamma=36.85
Fractional positions:
Pr 0.083 0.083 0.248
Pr 0.917 0.917 0.752
Y 0.334 0.334 0.500
Y 0.415 0.415 0.249
Y 0.500 0.500 0.000
Y 0.585 0.585 0.751
Y 0.666 0.666 0.500
Tm 0.000 0.000 0.500
Tm 0.169 0.169 0.001
Tm 0.249 0.249 0.751
Tm 0.751 0.751 0.249
Tm 0.831 0.831 0.999

=====

# 4
Material: Li2YErS4
Method: DFT, PBE
State: relaxed

Properties
- Raw total energy: -46.2 eV for the cell shown
- Total magnetization: 0.00 μB per cell
- Formation energy (no corrections): -42.78 kcal/mol of atoms
- Space group: P2/m (10)
- Density of states at the Fermi level: 0.00 states/eV per cell

Unit cell a=6.565 b=3.898 c=6.750 alpha=90.00 beta=109.98 gamma=90.00
Fractional positions:
Li 0.000 0.000 0.000
Li 0.000 0.500 0.500
Y 0.500 0.000 0.500
Er 0.500 0.500 0.000
S 0.249 0.500 0.248
S 0.251 0.000 0.753
S 0.749 0.000 0.247
S 0.751 0.500 0.752

=====

# 5
Material: TbPmSb2
Method: DFT, PBE
State: relaxed

Properties
- Raw total energy: -65.4 eV for the cell shown
- Total magnetization: 0.00 μB per cell
- E above lowest polymorph: 123 meV per atom
- Formation energy (no corrections): -24.07 kcal/mol of atoms
- Space group: R3m (160)
- Density of states at the Fermi level: 1.20 states/eV per cell

Unit cell a=4.415 b=4.415 c=22.632 alpha=90.00 beta=90.00 gamma=120.00
Fractional positions:
Tb 0.000 0.000 0.000
Tb 0.333 0.667 0.667
Tb 0.667 0.333 0.333
Pm 0.000 0.000 0.171
Pm 0.333 0.667 0.838
Pm 0.667 0.333 0.504
Sb 0.000 0.000 0.586
Sb 0.000 0.000 0.751
Sb 0.333 0.667 0.253
Sb 0.333 0.667 0.418
Sb 0.667 0.333 0.085
Sb 0.667 0.333 0.919

=====

# 6
Material: AcH6Rh
Method: DFT, PBE
State: relaxed

Properties
- Raw total energy: -69.4 eV for the cell shown
- Total magnetization: 0.00 μB per cell
- E above lowest polymorph: 94 meV per atom
- Space group: C2/m (12)
- Density of states at the Fermi level: 0.00 states/eV per cell

Unit cell a=5.793 b=6.638 c=4.392 alpha=90.00 beta=102.70 gamma=90.00
Fractional positions:
Ac 0.000 0.000 0.000
Ac 0.500 0.500 0.000
H 0.100 0.327 0.771
H 0.100 0.673 0.771
H 0.231 0.000 0.577
H 0.269 0.500 0.423
H 0.400 0.173 0.229
H 0.400 0.827 0.229
H 0.600 0.173 0.771
H 0.600 0.827 0.771
H 0.731 0.500 0.577
H 0.769 0.000 0.423
H 0.900 0.327 0.229
H 0.900 0.673 0.229
Rh 0.000 0.500 0.500
Rh 0.500 0.000 0.500

=====

> Among the records above, which one has the lowest raw total energy?

Sc2Os

=====

What did the second record say?
Material: Y3NbBr
Method: DFT, PBE
State: relaxed

Properties
- Raw total energy: -29.7 eV for the cell shown
- Total magnetization: 1.20 μB per cell
- E above lowest polymorph: 0 meV per atom
- Formation energy (no corrections): 6.59 kcal/mol of atoms
- Space group: Pm-3m (221)
- Density of states at the Fermi level: 3.18 states/eV per cell

Unit cell a=5.284 b=5.284 c=5.284 alpha=90.00 beta=90.00 gamma=90.00
Fractional positions:
Y 0.000 0.000 0.500
Y 0.000 0.500 0.000
Y 0.500 0.000 0.000
Nb 0.500 0.500 0.500
Br 0.000 0.000 0.000

=====

What did the fifth record say?
Material: TbPmSb2
Method: DFT, PBE
State: relaxed

Properties
- Raw total energy: -65.4 eV for the cell shown
- Total magnetization: 0.00 μB per cell
- E above lowest polymorph: 123 meV per atom
- Formation energy (no corrections): -24.07 kcal/mol of atoms
- Space group: R3m (160)
- Density of states at the Fermi level: 1.20 states/eV per cell

Unit cell a=4.415 b=4.415 c=22.632 alpha=90.00 beta=90.00 gamma=120.00
Fractional positions:
Tb 0.000 0.000 0.000
Tb 0.333 0.667 0.667
Tb 0.667 0.333 0.333
Pm 0.000 0.000 0.171
Pm 0.333 0.667 0.838
Pm 0.667 0.333 0.504
Sb 0.000 0.000 0.586
Sb 0.000 0.000 0.751
Sb 0.333 0.667 0.253
Sb 0.333 0.667 0.418
Sb 0.667 0.333 0.085
Sb 0.667 0.333 0.919

=====

Repeat the first record exactly.
Material: Sc2Os
Method: DFT, PBE
State: relaxed

Properties
- Raw total energy: -97.7 eV for the cell shown
- Energy relative to the elements: -0.179 eV/atom
- Total magnetization: 0.00 μB per cell
- Space group: C2/m (12)
- Density of states at the Fermi level: 11.25 states/eV per cell

Unit cell a=11.645 b=3.173 c=6.800 alpha=90.00 beta=106.71 gamma=90.00
Fractional positions:
Sc 0.019 0.000 0.244
Sc 0.208 0.500 0.682
Sc 0.292 0.000 0.318
Sc 0.481 0.500 0.756
Sc 0.519 0.500 0.244
Sc 0.708 0.000 0.682
Sc 0.792 0.500 0.318
Sc 0.981 0.000 0.756
Os 0.142 0.500 0.025
Os 0.358 0.000 0.975
Os 0.642 0.000 0.025
Os 0.858 0.500 0.975